[1]
This record from the Alexandria database describes an optimized crystal structure of CsAsIrClO. The functional is PBE-GGA.

Computed properties:
Energy relative to the lowest polymorph listed for this composition ... 0.000 eV per atom
Density ... 6.65 g/cm3
Space group ... P3m1 (156)

abc: 3.816 3.816 8.941
angles: 90.00 90.00 120.00
Atoms (fractional coordinates):
Cs1 0.000 0.000 0.000
As1 0.667 0.333 0.614
Ir1 0.000 0.000 0.495
Cl1 0.333 0.667 0.325
O1 0.667 0.333 0.809

***

[2]
This record from the Alexandria database describes an optimized crystal structure of CsAsIrClO. The functional is PBE-GGA.

Computed properties:
Energy relative to the lowest polymorph listed for this composition ... 0.119 eV per atom
Density ... 5.14 g/cm3
Space group ... P1 (1)

abc: 3.737 6.297 6.435
angles: 105.00 92.80 92.77
Atoms (fractional coordinates):
Cs1 0.000 0.000 0.000
As1 0.499 0.379 0.619
Ir1 0.998 0.514 0.484
Cl1 0.498 0.680 0.319
O1 0.500 0.214 0.789

***

[3]
This record from the Alexandria database describes an optimized crystal structure of CsKAsCl6. The functional is PBE-GGA.

Computed properties:
Final energy ... -3.134 eV/atom
Density ... 2.19 g/cm3
Space group ... P312 (149)

abc: 7.538 7.538 7.092
angles: 90.00 90.00 120.00
Atoms (fractional coordinates):
Cs1 0.000 0.000 0.000
K1 0.667 0.333 0.500
As1 0.333 0.667 0.500
Cl1 0.071 0.408 0.302
Cl2 0.071 0.663 0.698
Cl3 0.337 0.408 0.698
Cl4 0.337 0.929 0.302
Cl5 0.592 0.663 0.302
Cl6 0.592 0.929 0.698

***

[4]
This record from the Alexandria database describes an optimized crystal structure of Cs2KAsCl8. The functional is PBE-GGA.

Computed properties:
Final energy ... -3.037 eV/atom
Density ... 2.63 g/cm3
Space group ... P-1 (2)

abc: 5.928 8.044 9.215
angles: 84.10 78.92 76.29
Atoms (fractional coordinates):
Cs1 0.225 0.486 0.231
Cs2 0.775 0.514 0.769
K1 0.000 0.000 0.000
As1 0.000 0.000 0.500
Cl1 0.189 0.800 0.672
Cl2 0.201 0.199 0.542
Cl3 0.295 0.898 0.308
Cl4 0.311 0.283 0.916
Cl5 0.689 0.717 0.084
Cl6 0.705 0.102 0.692
Cl7 0.799 0.801 0.458
Cl8 0.811 0.200 0.328

***

[5]
This record from the Alexandria database describes an optimized crystal structure of CsLiAsCl6. The functional is PBE-GGA.

Computed properties:
Final energy ... -3.185 eV/atom
Density ... 2.43 g/cm3
Space group ... P312 (149)

abc: 6.576 6.576 7.814
angles: 90.00 90.00 120.00
Atoms (fractional coordinates):
Cs1 0.000 0.000 0.000
Li1 0.333 0.667 0.500
As1 0.667 0.333 0.500
Cl1 0.382 0.021 0.679
Cl2 0.382 0.362 0.321
Cl3 0.638 0.021 0.321
Cl4 0.638 0.618 0.679
Cl5 0.979 0.362 0.679
Cl6 0.979 0.618 0.321

***

[6]
This record from the Alexandria database describes an optimized crystal structure of CsMnAsCl6. The functional is PBE-GGA.

Computed properties:
Final energy ... -3.988 eV/atom
Density ... 2.64 g/cm3
Space group ... P312 (149)

abc: 6.649 6.649 7.823
angles: 90.00 90.00 120.00
Atoms (fractional coordinates):
Cs1 0.000 0.000 0.000
Mn1 0.333 0.667 0.500
As1 0.667 0.333 0.500
Cl1 0.378 0.002 0.685
Cl2 0.378 0.376 0.315
Cl3 0.624 0.002 0.315
Cl4 0.624 0.622 0.685
Cl5 0.998 0.376 0.685
Cl6 0.998 0.622 0.315

***

[7]
This record from the Alexandria database describes an optimized crystal structure of CsNa2AsCl8. The functional is PBE-GGA.

Computed properties:
Final energy ... -3.017 eV/atom
Density ... 2.52 g/cm3
Space group ... P-1 (2)

abc: 6.426 6.671 8.451
angles: 88.27 77.51 88.41
Atoms (fractional coordinates):
Cs1 0.000 0.000 0.000
Na1 0.473 0.517 0.260
Na2 0.527 0.483 0.740
As1 0.500 0.000 0.500
Cl1 0.225 0.778 0.602
Cl2 0.237 0.497 0.025
Cl3 0.262 0.279 0.547
Cl4 0.437 0.967 0.236
Cl5 0.563 0.033 0.764
Cl6 0.738 0.721 0.453
Cl7 0.763 0.503 0.975
Cl8 0.775 0.222 0.398

***

[8]
This record from the Alexandria database describes an optimized crystal structure of CsNaAsCl2. The functional is PBE-GGA.

Computed properties:
Final energy ... -2.396 eV/atom
Density ... 1.94 g/cm3
Space group ... P4/mmm (123)

abc: 6.488 6.488 6.146
angles: 90.00 90.00 90.00
Atoms (fractional coordinates):
Cs1 0.000 0.000 0.000
Na1 0.500 0.500 0.500
As1 0.000 0.000 0.500
Cl1 0.000 0.500 0.000
Cl2 0.500 0.000 0.000

***

[9]
This record from the Alexandria database describes an optimized crystal structure of Cs2NbAsCl6. The functional is PBE-GGA.

Computed properties:
Final energy ... -3.904 eV/atom
Density ... 3.31 g/cm3
Space group ... I4/mmm (139)

abc: 8.074 8.074 8.074
angles: 127.08 127.08 78.11
Atoms (fractional coordinates):
Cs1 0.250 0.750 0.500
Cs2 0.750 0.250 0.500
Nb1 0.000 0.000 0.000
As1 0.500 0.500 0.000
Cl1 0.200 0.200 0.000
Cl2 0.249 0.249 0.497
Cl3 0.249 0.751 0.000
Cl4 0.751 0.249 0.000
Cl5 0.751 0.751 0.503
Cl6 0.800 0.800 0.000

***

[10]
This record from the Alexandria database describes an optimized crystal structure of Cs5AsCl2O4. The functional is PBE-GGA.

Computed properties:
Final energy ... -4.395 eV/atom
Density ... 3.90 g/cm3
Space group ... Amm2 (38)

abc: 9.288 6.580 6.580
angles: 112.38 90.00 90.00
Atoms (fractional coordinates):
Cs1 0.000 0.000 0.000
Cs2 0.296 0.225 0.592
Cs3 0.296 0.592 0.225
Cs4 0.704 0.225 0.592
Cs5 0.704 0.592 0.225
As1 0.500 0.920 0.920
Cl1 0.000 0.462 0.877
Cl2 0.000 0.877 0.462
O1 0.348 0.061 0.061
O2 0.500 0.652 0.911
O3 0.500 0.911 0.652
O4 0.652 0.061 0.061

***

[11]
This record from the Alexandria database describes an optimized crystal structure of Cs2AsCl5O. The functional is PBE-GGA.

Computed properties:
Final energy ... -3.490 eV/atom
Density ... 3.15 g/cm3
Space group ... I4mm (107)

abc: 7.415 7.415 7.415
angles: 121.41 121.41 87.57
Atoms (fractional coordinates):
Cs1 0.000 0.500 0.500
Cs2 0.500 0.000 0.500
As1 0.225 0.225 0.000
Cl1 0.018 0.018 0.538
Cl2 0.018 0.479 0.000
Cl3 0.452 0.452 0.000
Cl4 0.479 0.018 0.000
Cl5 0.479 0.479 0.462
O1 0.069 0.069 0.000

***

[12]
This record from the Alexandria database describes an optimized crystal structure of CsAs2OsCl. The functional is PBE-GGA.

Computed properties:
Final energy ... -2.153 eV/atom
Density ... 3.33 g/cm3
Space group ... P4/mmm (123)

abc: 6.591 6.591 5.836
angles: 90.00 90.00 90.00
Atoms (fractional coordinates):
Cs1 0.000 0.000 0.000
As1 0.000 0.500 0.000
As2 0.500 0.000 0.000
Os1 0.000 0.000 0.500
Cl1 0.500 0.500 0.500